Material: LaBiBr
Method: DFT, PBE-GGA
State: relaxed

Structure (CIF):
```
data_LaBiBr
_symmetry_space_group_name_H-M 'P -6 m 2'
_symmetry_Int_Tables_number 187
_symmetry_space_group_name_Hall 'P -6 2'
_cell_length_a 5.2966
_cell_length_b 5.2966
_cell_length_c 3.8808
_cell_angle_alpha 90.00
_cell_angle_beta 90.00
_cell_angle_gamma 120.00
loop_
_atom_site_label
_atom_site_fract_x
_atom_site_fract_y
_atom_site_fract_z
_atom_site_occupancy
La1 0.0000 0.0000 0.0000 1
Bi1 0.6667 0.3333 0.5000 1
Br1 0.3333 0.6667 0.0000 1
```

Properties
E_form (uncorrected)	-0.9896	eV/atom



Material: La4Bi3Br
Method: DFT, PBE-GGA
State: relaxed

Structure (CIF):
```
data_La4Bi3Br
_symmetry_space_group_name_H-M 'I 4/m m m'
_symmetry_Int_Tables_number 139
_symmetry_space_group_name_Hall '-I 4 2'
_cell_length_a 6.560
_cell_length_b 6.560
_cell_length_c 13.126
_cell_angle_alpha 90.00
_cell_angle_beta 90.00
_cell_angle_gamma 90.00
loop_
_atom_site_label
_atom_site_fract_x
_atom_site_fract_y
_atom_site_fract_z
_atom_site_occupancy
La1 0.000 0.000 0.247 1
La2 0.000 0.500 0.000 1
Bi1 0.000 0.000 0.000 1
Bi2 0.000 0.500 0.250 1
Br1 0.000 0.000 0.500 1
```

Properties
E_form (uncorrected)	-1.1364	eV/atom



Material: LaBiBr3
Method: DFT, PBE-GGA
State: relaxed

Structure (CIF):
```
data_LaBiBr3
_symmetry_space_group_name_H-M 'P m -3 m'
_symmetry_Int_Tables_number 221
_symmetry_space_group_name_Hall '-P 4 2 3'
_cell_length_a 5.926
_cell_length_b 5.926
_cell_length_c 5.926
_cell_angle_alpha 90.00
_cell_angle_beta 90.00
_cell_angle_gamma 90.00
loop_
_atom_site_label
_atom_site_fract_x
_atom_site_fract_y
_atom_site_fract_z
_atom_site_occupancy
La1 0.000 0.000 0.000 1
Bi1 0.500 0.500 0.500 1
Br1 0.000 0.000 0.500 1
```

Properties
E_form (uncorrected)	-1.0191	eV/atom